Entry 1:
Y2NbHg | PBE | optimized geometry

Geometry as extended XYZ:
```
8
Lattice="-2.446 3.354 -1.601 -0.596 -2.245 -3.794 -10.123 -3.835 1.251" Properties=species:S:1:pos:R:3 pbc="T T T"
Y -4.124 0.844 -1.156
Y -3.218 -1.930 -2.265
Y -8.735 -2.469 -1.099
Y -10.251 -1.898 -3.767
Nb -1.521 0.554 -2.697
Nb -6.120 -2.763 -2.620
Hg 0.000 0.000 0.000
Hg -7.045 0.036 -1.523
```

Calculated values
Raw total energy (eV per atom): -5.291
Energy of formation from the pure elements (eV per atom): 0.534
Volume (Å³ per cell): 206.5
M_tot (μB per formula unit): 0.00

Entry 2:
YNbHg2 | PBE | optimized geometry

Geometry as extended XYZ:
```
4
Lattice="0.000 3.551 3.551 3.551 0.000 3.551 3.551 3.551 0.000" Properties=species:S:1:pos:R:3 pbc="T T T"
Y 0.000 0.000 0.000
Nb 3.551 3.551 3.551
Hg 1.776 1.776 1.776
Hg 5.327 5.327 5.327
```

Calculated values
Raw total energy (eV per atom): -4.231
Excess energy over the best structure of this formula in the dataset (meV/atom): 0
Energy of formation from the pure elements (eV per atom): 0.053
Volume (Å³ per cell): 89.6
M_tot (μB per formula unit): 0.00

Entry 3:
Y2NbHg2 | PBE | optimized geometry

Geometry as extended XYZ:
```
10
Lattice="-3.837 -6.967 -0.029 5.564 -3.045 -4.799 2.110 -1.176 3.192" Properties=species:S:1:pos:R:3 pbc="T T T"
Y 4.137 -3.851 -1.644
Y 3.065 -7.798 -2.389
Y -0.301 -7.336 0.007
Y 0.771 -3.389 0.752
Nb 0.000 0.000 0.000
Nb 0.863 -5.006 -2.414
Hg 3.418 -5.210 -4.178
Hg 0.182 -7.973 -3.057
Hg -1.691 -4.801 -0.650
Hg 1.544 -2.039 -1.772
```

Calculated values
Raw total energy (eV per atom): -4.727
Energy of formation from the pure elements (eV per atom): -0.007
Volume (Å³ per cell): 253.2
M_tot (μB per formula unit): 3.52

Entry 4:
Y2Nb2Hg | PBE | optimized geometry

Geometry as extended XYZ:
```
10
Lattice="-5.817 3.951 -5.289 5.205 -1.591 -6.913 -1.593 -3.020 -0.504" Properties=species:S:1:pos:R:3 pbc="T T T"
Y 2.417 -0.079 -7.159
Y -1.047 2.066 -9.065
Y -3.029 2.439 -5.043
Y 0.436 0.294 -3.137
Nb 1.749 -2.086 -4.844
Nb 0.475 -0.610 -9.659
Nb -3.954 1.426 -7.863
Nb -2.680 -0.050 -3.048
Hg 0.000 0.000 0.000
Hg -0.306 1.180 -6.101
```

Calculated values
Raw total energy (eV per atom): -6.232
Excess energy over the best structure of this formula in the dataset (meV/atom): 247
Energy of formation from the pure elements (eV per atom): 0.442
Volume (Å³ per cell): 267.2
M_tot (μB per formula unit): 0.00

Entry 5:
Y2Nb2Hg | PBE | optimized geometry

Geometry as extended XYZ:
```
5
Lattice="-1.825 1.746 2.861 2.343 -1.665 2.510 5.827 6.910 2.046" Properties=species:S:1:pos:R:3 pbc="T T T"
Y 1.428 1.482 2.551
Y 4.918 5.508 4.866
Nb 2.131 4.348 3.796
Nb 4.215 2.642 3.621
Hg 0.000 0.000 0.000
```

Calculated values
Raw total energy (eV per atom): -6.451
Excess energy over the best structure of this formula in the dataset (meV/atom): 28
Energy of formation from the pure elements (eV per atom): 0.223
Volume (Å³ per cell): 129.1
M_tot (μB per formula unit): 0.00

Entry 6:
YNbHg2 | PBE | optimized geometry

Geometry as extended XYZ:
```
8
Lattice="4.449 0.000 0.000 0.000 4.449 0.000 2.224 2.224 10.356" Properties=species:S:1:pos:R:3 pbc="T T T"
Y 2.224 2.224 0.000
Y 2.224 4.449 5.178
Nb 0.000 0.000 0.000
Nb 4.449 2.224 5.178
Hg 3.462 1.112 2.589
Hg 0.987 3.337 2.589
Hg 3.337 3.211 7.767
Hg 5.561 5.687 7.767
```

Calculated values
Raw total energy (eV per atom): -3.835
Excess energy over the best structure of this formula in the dataset (meV/atom): 397
Energy of formation from the pure elements (eV per atom): 0.450
Volume (Å³ per cell): 205.0
M_tot (μB per formula unit): 2.00

Question: Which value of volume does entry 4 give?
Answer: 267.2 Å³ per cell

Question: Which of these has the highest M_tot?
Answer: Y2NbHg2

Copy entry 2 word for word.
YNbHg2 | PBE | optimized geometry

Geometry as extended XYZ:
```
4
Lattice="0.000 3.551 3.551 3.551 0.000 3.551 3.551 3.551 0.000" Properties=species:S:1:pos:R:3 pbc="T T T"
Y 0.000 0.000 0.000
Nb 3.551 3.551 3.551
Hg 1.776 1.776 1.776
Hg 5.327 5.327 5.327
```

Calculated values
Raw total energy (eV per atom): -4.231
Excess energy over the best structure of this formula in the dataset (meV/atom): 0
Energy of formation from the pure elements (eV per atom): 0.053
Volume (Å³ per cell): 89.6
M_tot (μB per formula unit): 0.00

Question: The highest volume belongs to which entry?
Answer: number 4